(1)
BaCa2SbIr: optimized geometry, PBE-GGA.

Lattice parameters (Å, degrees): 5.8941 5.7270 5.8941 90.00 90.00 90.00
Fractional coordinates of all 5 atoms:
Ca (0.5000, 0.0000, 0.0000)
Ca (0.0000, 0.0000, 0.5000)
Ir (0.5000, 0.5000, 0.5000)
Sb (0.0000, 0.5000, 0.0000)
Ba (0.0000, 0.0000, 0.0000)

uncorrected formation energy	39.21	kcal/mol of atoms
space-group type	No. 123

(2)
TlHg2Mo: optimized geometry, PBE-GGA.

Lattice parameters (Å, degrees): 4.4423 3.1068 6.9359 63.74 90.00 90.00
Fractional coordinates of all 4 atoms:
Tl (0.5000, 0.7500, 0.7500)
Hg (0.0000, 0.5228, 0.4764)
Hg (0.0000, 0.9772, 0.0236)
Mo (0.5000, 0.2500, 0.2500)

energy relative to the lowest polymorph listed for this composition	0.148	eV per atom
space-group type	No. 10
E_form	0.66	eV/atom

(3)
HoEr2Th2: optimized geometry, PBE-GGA.

Lattice parameters (Å, degrees): 6.1654 7.0838 14.5195 90.00 98.24 90.00
Fractional coordinates of all 20 atoms:
Ho (0.6495, 0.8734, 0.6982)
Ho (0.3505, 0.1266, 0.3018)
Ho (0.8505, 0.3734, 0.3018)
Ho (0.1495, 0.6266, 0.6982)
Er (0.8524, 0.8775, 0.3034)
Er (0.9505, 0.6249, 0.0985)
Er (0.5495, 0.1249, 0.9015)
Er (0.0495, 0.3751, 0.9015)
Er (0.1476, 0.1225, 0.6966)
Er (0.3524, 0.6225, 0.3034)
Er (0.4505, 0.8751, 0.0985)
Er (0.6476, 0.3775, 0.6966)
Th (0.4502, 0.3709, 0.0986)
Th (0.2482, 0.3754, 0.5004)
Th (0.5498, 0.6291, 0.9014)
Th (0.7482, 0.1246, 0.5004)
Th (0.0498, 0.8709, 0.9014)
Th (0.2518, 0.8754, 0.4996)
Th (0.9502, 0.1291, 0.0986)
Th (0.7518, 0.6246, 0.4996)

energy relative to the lowest polymorph listed for this composition	0.000	eV per atom
space-group type	No. 14
E_form	0.03	eV/atom

(4)
Ce2CSe2: optimized geometry, PBE-GGA.

Lattice parameters (Å, degrees): 5.8459 6.6804 7.3555 117.01 113.41 90.00
Fractional coordinates of all 10 atoms:
Ce (0.6030, 0.4016, 0.2061)
Ce (0.8970, 0.1955, 0.7939)
Ce (0.1030, 0.8045, 0.2061)
Ce (0.3970, 0.5984, 0.7939)
Se (0.6446, 0.9864, 0.2891)
Se (0.1446, 0.3027, 0.2891)
Se (0.3554, 0.0136, 0.7109)
Se (0.8554, 0.6973, 0.7109)
C (0.2500, 0.5000, 0.0000)
C (0.7500, 0.5000, 0.0000)

uncorrected formation energy	-26.26	kcal/mol of atoms
space-group type	No. 72

(5)
SrZr3Se: optimized geometry, PBE-GGA.

Lattice parameters (Å, degrees): 5.1706 5.1706 5.1706 90.00 90.00 90.00
Fractional coordinates of all 5 atoms:
Sr (0.0000, 0.0000, 0.0000)
Zr (0.5000, 0.0000, 0.0000)
Zr (0.0000, 0.5000, 0.0000)
Zr (0.0000, 0.0000, 0.5000)
Se (0.5000, 0.5000, 0.5000)

uncorrected formation energy	41.25	kcal/mol of atoms
energy relative to the lowest polymorph listed for this composition	1.855	eV per atom
space-group type	No. 221

(6)
TlNiTe2: optimized geometry, PBE-GGA.

Lattice parameters (Å, degrees): 3.2432 3.5827 10.1304 90.00 90.00 90.00
Fractional coordinates of all 4 atoms:
Tl (0.0000, 0.0000, 0.5111)
Te (0.0000, 0.0000, 0.8998)
Te (0.5000, 0.5000, 0.2745)
Ni (0.5000, 0.5000, 0.8147)

uncorrected formation energy	1.85	kcal/mol of atoms
space-group type	No. 25

(7)
BeVGa3: optimized geometry, PBE-GGA.

Lattice parameters (Å, degrees): 4.3966 4.3966 4.3966 90.00 90.00 90.00
Fractional coordinates of all 5 atoms:
Ga (0.0000, 0.0000, 0.5000)
Ga (0.0000, 0.5000, 0.0000)
Ga (0.5000, 0.0000, 0.0000)
Be (0.0000, 0.0000, 0.0000)
V (0.5000, 0.5000, 0.5000)

energy relative to the lowest polymorph listed for this composition	0.000	eV per atom
space-group type	No. 221
E_form	0.57	eV/atom

(8)
Tb8ScSn6: optimized geometry, PBE-GGA.

Lattice parameters (Å, degrees): 9.0093 9.0093 8.3023 57.14 57.14 60.00
Fractional coordinates of all 15 atoms:
Tb (0.6662, 0.6662, 0.0013)
Tb (0.2295, 0.8949, 0.3162)
Tb (0.7705, 0.1051, 0.6838)
Tb (0.3338, 0.3338, 0.9987)
Tb (0.4406, 0.7705, 0.6838)
Tb (0.5594, 0.2295, 0.3162)
Tb (0.1051, 0.4406, 0.6838)
Tb (0.8949, 0.5594, 0.3162)
Sn (0.7390, 0.3938, 0.8008)
Sn (0.6062, 0.9336, 0.1992)
Sn (0.9336, 0.2610, 0.1992)
Sn (0.0664, 0.7390, 0.8008)
Sn (0.2610, 0.6062, 0.1992)
Sn (0.3938, 0.0664, 0.8008)
Sc (0.0000, 0.0000, 0.0000)

space-group type	No. 148
E_form	-0.53	eV/atom

(9)
SrAc4Pr4: optimized geometry, PBE-GGA.

Lattice parameters (Å, degrees): 5.5215 8.6871 8.6871 84.20 71.47 71.47
Fractional coordinates of all 9 atoms:
Pr (0.3438, 0.6562, 0.6561)
Pr (0.6562, 0.3438, 0.3439)
Pr (0.0000, 0.3439, 0.6562)
Pr (0.0000, 0.6561, 0.3438)
Sr (0.0000, 0.0000, 0.0000)
Ac (0.6722, 0.6555, 0.0000)
Ac (0.3278, 0.0000, 0.3445)
Ac (0.3278, 0.3445, 0.0000)
Ac (0.6722, 0.0000, 0.6555)

space-group type	No. 139
E_form	0.05	eV/atom

(10)
AcGd2Pt: optimized geometry, PBE-GGA.

Lattice parameters (Å, degrees): 4.0319 4.0319 9.8766 78.22 78.22 60.00
Fractional coordinates of all 4 atoms:
Gd (0.7229, 0.7229, 0.8313)
Gd (0.2771, 0.2771, 0.1687)
Ac (0.5000, 0.5000, 0.5000)
Pt (0.0000, 0.0000, 0.0000)

energy relative to the lowest polymorph listed for this composition	0.018	eV per atom
space-group type	No. 166
E_form	-0.54	eV/atom

(11)
SrNiSe2: optimized geometry, PBE-GGA.

Lattice parameters (Å, degrees): 7.3355 7.3355 6.2018 53.74 53.74 90.00
Fractional coordinates of all 8 atoms:
Sr (0.7500, 0.2500, 0.5000)
Sr (0.0000, 0.0000, 0.0000)
Se (0.8750, 0.7854, 0.7500)
Se (0.3750, 0.4646, 0.7500)
Se (0.5354, 0.1250, 0.2500)
Se (0.2146, 0.6250, 0.2500)
Ni (0.5000, 0.5000, 0.0000)
Ni (0.2500, 0.7500, 0.5000)

uncorrected formation energy	-23.06	kcal/mol of atoms
energy relative to the lowest polymorph listed for this composition	0.003	eV per atom
space-group type	No. 122

(12)
AcNdReN4: optimized geometry, PBE-GGA.

Lattice parameters (Å, degrees): 3.9546 3.9546 7.0561 106.27 106.27 90.00
Fractional coordinates of all 7 atoms:
N (0.9970, 0.4970, 0.9939)
N (0.1662, 0.1662, 0.3324)
N (0.8396, 0.8396, 0.6793)
N (0.4970, 0.9970, 0.9939)
Re (0.9970, 0.9970, 0.9939)
Ac (0.6470, 0.6470, 0.2940)
Nd (0.3563, 0.3563, 0.7125)

uncorrected formation energy	-19.70	kcal/mol of atoms
space-group type	No. 107

(13)
Pr6NdSm3Er2: optimized geometry, PBE-GGA.

Lattice parameters (Å, degrees): 6.3474 6.3474 12.0454 95.03 95.03 120.01
Fractional coordinates of all 12 atoms:
Sm (0.1668, 0.8332, 0.5000)
Sm (0.5000, 0.5000, 0.5000)
Sm (0.8332, 0.1668, 0.5000)
Pr (0.5824, 0.9168, 0.7517)
Pr (0.7490, 0.7490, 0.2482)
Pr (0.9168, 0.5824, 0.7517)
Pr (0.2510, 0.2510, 0.7518)
Pr (0.0832, 0.4176, 0.2483)
Pr (0.4176, 0.0832, 0.2483)
Er (0.6666, 0.3334, 0.0000)
Er (0.3334, 0.6666, 0.0000)
Nd (0.0000, 0.0000, 0.0000)

space-group type	No. 12
E_form	0.01	eV/atom

(14)
CuPBr2: optimized geometry, PBE-GGA.

Lattice parameters (Å, degrees): 5.4470 5.4470 5.4470 140.84 98.27 94.63
Fractional coordinates of all 4 atoms:
P (0.2500, 0.7500, 0.5000)
Cu (0.7500, 0.2500, 0.5000)
Br (0.9871, 0.9871, 0.0000)
Br (0.5129, 0.5129, 0.0000)

uncorrected formation energy	10.90	kcal/mol of atoms
energy relative to the lowest polymorph listed for this composition	0.618	eV per atom
space-group type	No. 71

(15)
Tb2Sc3In: optimized geometry, PBE-GGA.

Lattice parameters (Å, degrees): 4.6577 4.6650 7.5820 107.92 90.00 90.00
Fractional coordinates of all 6 atoms:
Sc (0.5000, 0.8343, 0.6686)
Sc (0.5000, 0.1657, 0.3314)
Sc (0.5000, 0.5000, 0.0000)
Tb (0.0000, 0.6613, 0.3225)
Tb (0.0000, 0.3387, 0.6775)
In (0.0000, 0.0000, 0.0000)

energy relative to the lowest polymorph listed for this composition	0.000	eV per atom
space-group type	No. 65
E_form	-0.14	eV/atom

(16)
SmErCuSn: optimized geometry, PBE-GGA.

Lattice parameters (Å, degrees): 5.1778 5.1778 5.1778 60.00 60.00 60.00
Fractional coordinates of all 4 atoms:
Sm (0.5000, 0.5000, 0.5000)
Cu (0.7500, 0.7500, 0.7500)
Er (0.0000, 0.0000, 0.0000)
Sn (0.2500, 0.2500, 0.2500)

space-group type	No. 216
E_form	-0.42	eV/atom

(17)
BaTl3Ag3: optimized geometry, PBE-GGA.

Lattice parameters (Å, degrees): 7.8342 7.8342 7.8342 90.00 90.00 90.00
Fractional coordinates of all 14 atoms:
Tl (0.0000, 0.7500, 0.5000)
Tl (0.0000, 0.2500, 0.5000)
Tl (0.5000, 0.0000, 0.2500)
Tl (0.7500, 0.5000, 0.0000)
Tl (0.2500, 0.5000, 0.0000)
Tl (0.5000, 0.0000, 0.7500)
Ag (0.2500, 0.0000, 0.5000)
Ag (0.5000, 0.2500, 0.0000)
Ag (0.5000, 0.7500, 0.0000)
Ag (0.7500, 0.0000, 0.5000)
Ag (0.0000, 0.5000, 0.7500)
Ag (0.0000, 0.5000, 0.2500)
Ba (0.0000, 0.0000, 0.0000)
Ba (0.5000, 0.5000, 0.5000)

energy relative to the lowest polymorph listed for this composition	0.205	eV per atom
space-group type	No. 223
E_form	0.14	eV/atom

(18)
PrNiAs2Ru: optimized geometry, PBE-GGA.

Lattice parameters (Å, degrees): 3.9651 3.9651 6.4778 107.82 107.82 90.00
Fractional coordinates of all 5 atoms:
Pr (0.0000, 0.0000, 0.0000)
As (0.6302, 0.6302, 0.2603)
As (0.3698, 0.3698, 0.7397)
Ni (0.7500, 0.2500, 0.5000)
Ru (0.2500, 0.7500, 0.5000)

space-group type	No. 119
E_form	-0.69	eV/atom

(19)
ErTiHgPb: optimized geometry, PBE-GGA.

Lattice parameters (Å, degrees): 5.1002 5.1002 5.1002 60.00 60.00 60.00
Fractional coordinates of all 4 atoms:
Ti (0.2500, 0.2500, 0.2500)
Er (0.7500, 0.7500, 0.7500)
Hg (0.0000, 0.0000, 0.0000)
Pb (0.5000, 0.5000, 0.5000)

space-group type	No. 216
E_form	-0.12	eV/atom

(20)
BeAlI2Br: optimized geometry, PBE-GGA.

Lattice parameters (Å, degrees): 5.5996 4.8427 5.5996 90.00 90.00 90.00
Fractional coordinates of all 5 atoms:
I (0.0000, 0.0000, 0.5000)
I (0.5000, 0.0000, 0.0000)
Br (0.5000, 0.5000, 0.5000)
Al (0.0000, 0.0000, 0.0000)
Be (0.0000, 0.5000, 0.0000)

uncorrected formation energy	9.50	kcal/mol of atoms
space-group type	No. 123

Ordered DOS(E_F) results: 7.06; 3.24; 26.17; 3.50; 5.75; 1.77; 4.77; 10.15; 15.09; 5.24; 6.75; 2.23; 15.60; 2.38; 7.97; 3.74; 8.98; 4.87; 4.66; 6.13; unit states/eV/cell.